# NdSm2WO8

NdSm2WO8 after structural relaxation (GGA+U, Alexandria via LeMat-Bulk).

Results
The mass density comes out at 6.7 g/cm3. For the density of states at the Fermi level, the calculation gives 6.419 states/eV per cell. As for the final energy: -7.841 eV per atom.

Cell lengths 5.166, 5.166, 7.048 Å; angles 90.00, 90.00, 90.44 degrees
Atoms (fractional coordinates):
Nd (0.000, 0.000, 0.500)
Sm (0.500, 0.500, 0.755)
Sm (0.500, 0.500, 0.245)
W (0.000, 0.000, 0.000)
O (0.180, 0.819, 0.205)
O (0.730, 0.731, 0.000)
O (0.820, 0.181, 0.205)
O (0.820, 0.181, 0.795)
O (0.270, 0.269, 0.000)
O (0.180, 0.819, 0.795)
O (0.687, 0.689, 0.500)
O (0.313, 0.311, 0.500)